1.
# Ca3Ge3Rh2O12

A geometry-optimized Ca3Ge3Rh2O12 structure (PBE, Alexandria via LeMat-Bulk).

a = 10.8409 Å, b = 10.8409 Å, c = 10.8409 Å
α = 109.47°, β = 109.47°, γ = 109.47°
Last column: nearest neighbours and their distance in Å.
Fractional coordinates of all 80 atoms:
Ca1 0.2500 0.3750 0.1250  8 O 2.41-2.53
Ca2 0.7500 0.6250 0.8750  8 O 2.41-2.53
Ca3 0.7500 0.1250 0.3750  8 O 2.41-2.53
Ca4 0.1250 0.2500 0.3750  8 O 2.41-2.53
Ca5 0.3750 0.7500 0.1250  8 O 2.41-2.53
Ca6 0.2500 0.8750 0.6250  8 O 2.41-2.53
Ca7 0.8750 0.7500 0.6250  8 O 2.41-2.53
Ca8 0.6250 0.2500 0.8750  8 O 2.41-2.53
Ca9 0.3750 0.1250 0.2500  8 O 2.41-2.53
Ca10 0.6250 0.8750 0.7500  8 O 2.41-2.53
Ca11 0.1250 0.3750 0.7500  8 O 2.41-2.53
Ca12 0.8750 0.6250 0.2500  8 O 2.41-2.53
Ge1 0.2500 0.6250 0.3750  4 O 1.79
Ge2 0.7500 0.3750 0.6250  4 O 1.79
Ge3 0.7500 0.8750 0.1250  4 O 1.79
Ge4 0.3750 0.2500 0.6250  4 O 1.79
Ge5 0.6250 0.7500 0.3750  4 O 1.79
Ge6 0.2500 0.1250 0.8750  4 O 1.79
Ge7 0.1250 0.7500 0.8750  4 O 1.79
Ge8 0.8750 0.2500 0.1250  4 O 1.79
Ge9 0.6250 0.3750 0.2500  4 O 1.79
Ge10 0.3750 0.6250 0.7500  4 O 1.79
Ge11 0.8750 0.1250 0.7500  4 O 1.79
Ge12 0.1250 0.8750 0.2500  4 O 1.79
Rh1 0.0000 0.0000 0.0000  6 O 2.08
Rh2 0.5000 0.0000 0.5000  6 O 2.08
Rh3 0.0000 0.5000 0.5000  6 O 2.08
Rh4 0.5000 0.0000 0.0000  6 O 2.08
Rh5 0.5000 0.5000 0.0000  6 O 2.08
Rh6 0.5000 0.5000 0.5000  6 O 2.08
Rh7 0.0000 0.0000 0.5000  6 O 2.08
Rh8 0.0000 0.5000 0.0000  6 O 2.08
O1 0.4801 0.3792 0.2932  1 Ge 1.79
O2 0.5199 0.6208 0.7068  1 Ge 1.79
O3 0.5860 0.1869 0.2068  1 Ge 1.79
O4 0.9140 0.1208 0.6009  1 Ge 1.79
O5 0.2932 0.4801 0.3792  1 Ge 1.79
O6 0.3131 0.9140 0.2932  1 Ge 1.79
O7 0.4140 0.8131 0.7932  1 Ge 1.79
O8 0.0860 0.8792 0.3991  1 Ge 1.79
O9 0.7068 0.5199 0.6208  1 Ge 1.79
O10 0.6869 0.0860 0.7068  1 Ge 1.79
O11 0.0199 0.3131 0.8991  1 Ge 1.79
O12 0.2068 0.5860 0.1869  1 Ge 1.79
O13 0.1208 0.0199 0.2068  1 Ge 1.79
O14 0.9801 0.6869 0.1009  1 Ge 1.79
O15 0.7932 0.4140 0.8131  1 Ge 1.79
O16 0.8792 0.9801 0.7932  1 Ge 1.79
O17 0.6009 0.9140 0.1208  1 Ge 1.79
O18 0.1869 0.4801 0.6009  1 Ge 1.79
O19 0.3991 0.0860 0.8792  1 Ge 1.79
O20 0.8131 0.5199 0.3991  1 Ge 1.79
O21 0.8991 0.0199 0.3131  1 Ge 1.79
O22 0.3792 0.5860 0.8991  1 Ge 1.79
O23 0.1009 0.9801 0.6869  1 Ge 1.79
O24 0.6208 0.4140 0.1009  1 Ge 1.79
O25 0.3792 0.2932 0.4801  1 Ge 1.79
O26 0.5860 0.8991 0.3792  1 Ge 1.79
O27 0.6208 0.7068 0.5199  1 Ge 1.79
O28 0.4140 0.1009 0.6208  1 Ge 1.79
O29 0.1208 0.6009 0.9140  1 Ge 1.79
O30 0.0199 0.2068 0.1208  1 Ge 1.79
O31 0.8792 0.3991 0.0860  1 Ge 1.79
O32 0.9801 0.7932 0.8792  1 Ge 1.79
O33 0.3131 0.8991 0.0199  1 Ge 1.79
O34 0.9140 0.2932 0.3131  1 Ge 1.79
O35 0.6869 0.1009 0.9801  1 Ge 1.79
O36 0.0860 0.7068 0.6869  1 Ge 1.79
O37 0.1869 0.2068 0.5860  1 Ge 1.79
O38 0.4801 0.6009 0.1869  1 Ge 1.79
O39 0.8131 0.7932 0.4140  1 Ge 1.79
O40 0.5199 0.3991 0.8131  1 Ge 1.79
O41 0.2932 0.3131 0.9140  1 Ge 1.79
O42 0.7068 0.6869 0.0860  1 Ge 1.79
O43 0.2068 0.1208 0.0199  1 Ge 1.79
O44 0.7932 0.8792 0.9801  1 Ge 1.79
O45 0.8991 0.3792 0.5860  1 Ge 1.79
O46 0.1009 0.6208 0.4140  1 Ge 1.79
O47 0.6009 0.1869 0.4801  1 Ge 1.79
O48 0.3991 0.8131 0.5199  1 Ge 1.79

Summary:
As for the space group: Ia-3d, No. 230. The calculation puts the energy relative to the elements, uncorrected at -38.42 eV/f.u.

---

2.
# DyIn7Cu5

A geometry-optimized DyIn7Cu5 structure (PBE, Alexandria via LeMat-Bulk).

a = 7.2548 Å, b = 7.2548 Å, c = 7.2548 Å
α = 134.70°, β = 98.17°, γ = 98.89°
Last column: nearest neighbours and their distance in Å.
Fractional coordinates of all 13 atoms:
Dy1 0.9999 0.9999 0.0000  10 In 3.17-3.54
In1 0.6537 0.6537 0.0000  4 Cu 2.97, 5 In 3.00-3.24, 1 Dy 3.27
In2 0.3359 0.3359 0.0000  6 Cu 2.81-2.94, 1 In 3.00
In3 0.3241 0.9871 0.3370  5 Cu 2.77-2.96, 2 In 3.08-3.10
In4 0.6501 0.9871 0.6630  5 Cu 2.77-2.96, 2 In 3.08-3.10
In5 0.7688 0.2688 0.5000  4 Cu 2.79, 6 In 2.93-3.08
In6 0.8254 0.5143 0.3111  5 Cu 2.70-2.91, 1 In 2.93
In7 0.2032 0.5143 0.6889  5 Cu 2.70-2.91, 1 In 2.93
Cu1 0.4946 0.4929 0.4869  7 In 2.70-2.97, 3 Cu 2.71-2.88
Cu2 0.4946 0.0077 0.0018  7 In 2.70-2.97, 3 Cu 2.71-2.88
Cu3 0.0059 0.4929 0.9982  7 In 2.70-2.97, 3 Cu 2.71-2.88
Cu4 0.0059 0.0077 0.5131  7 In 2.70-2.97, 3 Cu 2.71-2.88
Cu5 0.2377 0.7377 0.5000  4 Cu 2.73, 6 In 2.77-2.94

Summary:
As for the space group: Imm2, No. 44. As for the calculated formation energy: -76.6 meV/atom. As for the density of states at the Fermi level: 4.07 states/eV/f.u.

---

3.
# PbI

A geometry-optimized PbI structure (PBE, Alexandria via LeMat-Bulk).

a = 7.5801 Å, b = 7.5801 Å, c = 7.5801 Å
α = 90.00°, β = 90.00°, γ = 90.00°
Last column: nearest neighbours and their distance in Å.
Fractional coordinates of all 8 atoms:
Pb1 0.0000 0.0000 0.0000  4 I 3.28
Pb2 0.0000 0.5000 0.5000  4 I 3.28
Pb3 0.5000 0.0000 0.5000  4 I 3.28
Pb4 0.5000 0.5000 0.0000  4 I 3.28
I1 0.2500 0.2500 0.2500  4 Pb 3.28
I2 0.2500 0.7500 0.7500  4 Pb 3.28
I3 0.7500 0.2500 0.7500  4 Pb 3.28
I4 0.7500 0.7500 0.2500  4 Pb 3.28

Summary:
As for the space group: F-43m, No. 216. The calculation puts the energy relative to the elements, uncorrected at 0.25 eV/f.u. As for the density of states at the Fermi level: 2.31 states/eV/f.u.

---

Here are the calculated DFT total energy numbers, same order: -6.6238 -3.4806 -2.5046 (eV per atom).